Dy2Ho4Th5 | GGA-PBE | optimized geometry

Unit cell a=3.466 b=8.783 c=11.617 alpha=85.46 beta=90.00 gamma=90.00
Fractional coordinates of all 11 atoms:
Dy 0.000 0.057 0.364
Dy 0.000 0.943 0.636
Ho 0.500 0.160 0.100
Ho 0.500 0.294 0.554
Ho 0.500 0.840 0.900
Ho 0.500 0.706 0.446
Th 0.000 0.427 0.290
Th 0.000 0.500 0.000
Th 0.000 0.798 0.173
Th 0.000 0.573 0.710
Th 0.000 0.202 0.827

V = 353 Å³/f.u.
Energy = -5.75 eV/atom
Formation energy = 128 meV/atom
Calculated density = 10103 kg/m³
M_tot = 0.000 μB per cell
Space-group type = P2/m, No. 10